A plane-wave DFT calculation with PBE was carried out for a relaxed structure of Pa4Si8Ir.

abc: 3.9355 3.9972 16.0401
angles: 90.00 90.00 90.00
Element x y z (fractional)
1 Pa 0.0000 0.0000 0.1004
2 Pa 0.0000 0.5000 0.6116
3 Pa 0.5000 0.5000 0.4013
4 Pa 0.5000 0.0000 0.8905
5 Si 0.0000 0.0000 0.4689
6 Si 0.0000 0.5000 0.9491
7 Si 0.5000 0.5000 0.0378
8 Si 0.5000 0.0000 0.5520
9 Si 0.0000 0.5000 0.2347
10 Si 0.0000 0.0000 0.7515
11 Si 0.5000 0.0000 0.2340
12 Si 0.5000 0.5000 0.7514
13 Ir 0.0000 0.0000 0.3199

Summary:
**Mass density**: 8.83 g/cm³
**Symmetry**: No. 25
**DFT total energy**: -0.548 Ry per atom
**Uncorrected formation energy**: -645 kJ/mol of formula units